1.
First-principles (PBE) data for an optimized crystal structure of HoPuTh14, as listed in Alexandria via LeMat-Bulk.

M_tot = 5.7 μB/f.u.
N(E_F) = 23.32 states/eV/f.u.
total DFT energy (no corrections) = -122.1 eV per cell
DFT formation energy = 42 meV/atom

Structure (POSCAR):
```
HoPuTh14
1.0
11.538 0.000 0.000
0.000 3.582 6.172
0.000 -3.582 6.172
Ho Pu Th
1 1 14
Direct
0.000 0.000 0.000
0.000 0.500 0.500
0.000 0.003 0.503
0.000 0.503 0.003
0.247 0.333 0.832
0.247 0.832 0.333
0.249 0.334 0.334
0.251 0.834 0.834
0.500 0.166 0.166
0.500 0.167 0.666
0.500 0.666 0.167
0.500 0.666 0.666
0.749 0.834 0.834
0.751 0.334 0.334
0.753 0.333 0.832
0.753 0.832 0.333
```

=====

2.
First-principles (PBE) data for an optimized crystal structure of YTaSi, as listed in Alexandria via LeMat-Bulk.

M_tot = 0.0 μB/f.u.
formation energy from raw total energies = -0.191 eV per atom
N(E_F) = 0.85 states/eV/f.u.
total DFT energy (no corrections) = -24.3 eV per cell

Structure (POSCAR):
```
YTaSi
1.0
-1.745 1.745 5.086
1.745 -1.745 5.086
1.745 1.745 -5.086
Y Ta Si
1 1 1
Direct
0.000 0.000 0.000
0.296 0.296 0.000
0.704 0.704 0.000
```

=====

> Which value of N(E_F) does entry 2 give?

0.85 states/eV/f.u.